# 1
# NdEr2Ru9, relaxed, DFT PBE-GGA
data_NdEr2Ru9
_cell_length_a 5.2960
_cell_length_b 5.2960
_cell_length_c 25.9734
_cell_angle_alpha 90.00
_cell_angle_beta 90.00
_cell_angle_gamma 120.00
_symmetry_space_group_name_H-M 'R -3 m'
_symmetry_Int_Tables_number 166
_symmetry_space_group_name_Hall '-R 3 2"'
loop_
_atom_site_label
_atom_site_fract_x
_atom_site_fract_y
_atom_site_fract_z
Nd1 0.0000 0.0000 0.0000
Er1 0.0000 0.0000 0.1398
Ru1 0.0000 0.0000 0.3387
Ru2 0.0000 0.0000 0.5000
Ru3 0.0120 0.5060 0.9162
# - Formation energy from the elements: -0.13 eV per atom


# 2
# LaPr2NdSb4, relaxed, DFT PBE-GGA
data_LaPr2NdSb4
_cell_length_a 7.910
_cell_length_b 4.571
_cell_length_c 7.910
_cell_angle_alpha 90.00
_cell_angle_beta 109.47
_cell_angle_gamma 90.00
_symmetry_space_group_name_H-M 'P 1 2/m 1'
_symmetry_Int_Tables_number 10
loop_
_symmetry_equiv_pos_as_xyz
'x,y,z'
'-x,-y,-z'
'-x,y,-z'
'x,-y,z'
loop_
_atom_site_label
_atom_site_fract_x
_atom_site_fract_y
_atom_site_fract_z
La1 0.000 0.000 0.000
Pr1 0.500 0.000 0.500
Pr2 0.500 0.500 0.000
Nd1 0.000 0.500 0.500
Sb1 0.249 0.000 0.748
Sb2 0.251 0.500 0.252
# - Formation energy without anion corrections: -1.21 eV/atom


Question: What is the formula in the first record?
Answer: NdEr2Ru9